## LiDy2Ga (SCAN)

Data for a crystal of LiDy2Ga relaxed with PBEsol.

Summary:
The value obtained for the formation energy is -354 meV per atom. The calculated volume comes out at 22.3 Å³/atom. As for the total energy: -28.94 eV per atom. Its space group is Fm-3m. The density of states at the Fermi level is 0.72 states/eV per atom.

```
LiDy2Ga
1.0
-3.0059 0.8282 3.9271
-4.9711 -0.4037 -0.5186
-2.4417 -3.8221 2.1385
Dy Ga Li
2 1 1
Cartesian
-7.8140 -2.5482 4.1602
-2.6047 -0.8494 1.3867
-5.2093 -1.6988 2.7735
0.0000 0.0000 0.0000
```



## DyZnSn (SCAN)

Data for a crystal of DyZnSn relaxed with PBEsol.

Summary:
The value obtained for the formation energy is -629 meV per atom. The calculated volume comes out at 21.4 Å³/atom. As for the total energy: -33.04 eV per atom. Its space group is P6_3/mmc. The density of states at the Fermi level is 0.37 states/eV per atom.

```
DyZnSn
1.0
4.5586 0.0000 0.0000
-2.2793 3.9479 0.0000
0.0000 0.0000 7.1468
Zn Sn Dy
2 2 2
Cartesian
0.0000 2.6319 1.7867
2.2793 1.3160 5.3601
0.0000 2.6319 5.3601
2.2793 1.3160 1.7867
0.0000 0.0000 0.0000
0.0000 0.0000 3.5734
```